A plane-wave DFT calculation with GGA+U was carried out for crystalline CaV2AgO6 at its relaxed geometry.

Cell: 5.5544 7.2905 7.2905 Å, 86.15 82.79 82.79°
Fractional coordinates of all 20 atoms:
O  0.9178  0.7006  0.5979
O  0.4178  0.5979  0.7006
O  0.1453  0.6096  0.1533
O  0.6698  0.7521  0.9783
O  0.8547  0.3904  0.8467
O  0.5822  0.4021  0.2994
O  0.8302  0.0217  0.2479
O  0.3302  0.2479  0.0217
O  0.3547  0.8467  0.3904
O  0.6453  0.1533  0.6096
O  0.1698  0.9783  0.7521
O  0.0822  0.2994  0.4021
Ca  0.7500  0.7106  0.2894
Ca  0.2500  0.2894  0.7106
V  0.7137  0.6068  0.7954
V  0.7863  0.2046  0.3932
V  0.2863  0.3932  0.2046
V  0.2137  0.7954  0.6068
Ag  0.7500  0.0775  0.9225
Ag  0.2500  0.9225  0.0775

Properties
For the electronic total energy, the calculation gives -6.8151 eV per atom. The crystal system is monoclinic. The value obtained for the total magnetic moment is 2.0 μB/cell.